Entry A
VASP calculation (PBE+U) on an optimized crystal structure of LaNiF2.

Cell lengths 7.820, 7.820, 7.820 Å; angles 24.93, 24.93, 24.93 degrees
Fractional coordinates of all 4 atoms:
La: 0.000 0.000 0.000
Ni: 0.500 0.500 0.500
F: 0.404 0.404 0.404
F: 0.596 0.596 0.596


Entry B
VASP calculation (PBE+U) on an optimized crystal structure of LaNiF2.

Cell lengths 4.324, 4.324, 4.324 Å; angles 60.00, 60.00, 60.00 degrees
Fractional coordinates of all 4 atoms:
La: 0.000 0.000 0.000
Ni: 0.500 0.500 0.500
F: 0.250 0.250 0.250
F: 0.750 0.750 0.750


Entry C
VASP calculation (PBE+U) on an optimized crystal structure of LaNiF2.

Cell lengths 8.433, 8.433, 8.433 Å; angles 147.99, 147.99, 45.90 degrees
Fractional coordinates of all 8 atoms:
La: 0.000 0.000 0.000
La: 0.750 0.250 0.500
Ni: 0.250 0.750 0.500
Ni: 0.500 0.500 0.000
F: 0.012 0.625 0.887
F: 0.375 0.262 0.387
F: 0.738 0.125 0.113
F: 0.875 0.988 0.613


Entry D
VASP calculation (PBE+U) on an optimized crystal structure of LaNiF2.

Cell lengths 6.388, 6.388, 6.388 Å; angles 34.98, 34.98, 34.98 degrees
Fractional coordinates of all 4 atoms:
La: 0.000 0.000 0.000
Ni: 0.500 0.500 0.500
F: 0.127 0.127 0.127
F: 0.873 0.873 0.873


Which of them is the least stable? Correct choice: entry D.